1.
First-principles (PBE-GGA) data for a relaxed structure of CdCuAg14, as listed in Alexandria via LeMat-Bulk.

Results
**Crystal system**: orthorhombic
**Size of the total moment**: 0.000 μB per atom
**Electronic total energy**: -44.5 eV per formula unit

Cell lengths 9.4911, 5.8975, 10.2296 Å; angles 90.00, 90.00, 90.00 degrees
Space group Amm2 (No. 38)
Inequivalent atoms, fractional coordinates:
Cd  0.0000  0.0000  0.0000 x2
Cu  0.0000  0.0000  0.4982 x2
Ag  0.0000  0.2484  0.2492 x4
Ag  0.2450  0.0000  0.6634 x4
Ag  0.2467  0.2465  0.4160 x8
Ag  0.2525  0.0000  0.1660 x4
Ag  0.5000  0.0000  0.3328 x2
Ag  0.5000  0.0000  0.8317 x2
Ag  0.5000  0.2487  0.5815 x4


2.
First-principles (PBE-GGA) data for a relaxed structure of Cd6CuAg3, as listed in Alexandria via LeMat-Bulk.

Results
**Crystal system**: monoclinic
**Size of the total moment**: 0.000 μB per atom
**Electronic total energy**: -18.3 eV per formula unit

Cell lengths 8.1207, 4.8169, 10.6621 Å; angles 90.00, 110.92, 90.00 degrees
Space group P2_1/m (No. 11)
Inequivalent atoms, fractional coordinates:
Cd  0.0018  0.2500  0.1612 x2
Cd  0.0083  0.7500  0.3359 x2
Cd  0.2202  0.7500  0.1453 x2
Cd  0.2320  0.2500  0.4795 x2
Cd  0.3983  0.7500  0.9284 x2
Cd  0.4351  0.2500  0.2938 x2
Cu  0.4012  0.7500  0.4310 x2
Ag  0.1810  0.7500  0.6297 x2
Ag  0.2035  0.2500  0.9725 x2
Ag  0.3907  0.2500  0.7700 x2


3.
First-principles (PBE-GGA) data for a relaxed structure of CdCuAg2, as listed in Alexandria via LeMat-Bulk.

Results
**Crystal system**: trigonal
**Size of the total moment**: 0.000 μB per atom
**Electronic total energy**: -10.4 eV per formula unit

Cell lengths 2.9605, 2.9605, 27.6511 Å; angles 90.00, 90.00, 120.00 degrees
Space group R3m (No. 160, hexagonal axes)
Inequivalent atoms, fractional coordinates:
Cd  0.0000  0.0000  0.0000 x3
Cu  0.0000  0.0000  0.7473 x3
Ag  0.0000  0.0000  0.2430 x3
Ag  0.0000  0.0000  0.4898 x3